This record from the Alexandria database describes crystalline TaSb2IBr at its relaxed geometry. The functional is GGA-PBEsol.

a = 5.326 Å, b = 5.326 Å, c = 5.334 Å
α = 90.00°, β = 90.00°, γ = 90.00°
Space group P4/mmm (No. 123)
Asymmetric unit:
Ta 0.000 0.000 0.000 [1 per cell]
Sb 0.000 0.500 0.000 [2 per cell]
I 0.000 0.000 0.500 [1 per cell]
Br 0.500 0.500 0.500 [1 per cell]

Results
ΔE_f (raw): 1.16 eV/f.u.
Polymorph energy (0 for the lowest one): 0 meV/atom

=====

This record from the Alexandria database describes crystalline TaSb2IBr at its relaxed geometry. The functional is GGA-PBEsol.

a = 5.321 Å, b = 5.321 Å, c = 5.443 Å
α = 90.00°, β = 90.00°, γ = 90.00°
Space group P4/mmm (No. 123)
Asymmetric unit:
Ta 0.000 0.000 0.000 [1 per cell]
Sb 0.000 0.500 0.500 [2 per cell]
I 0.500 0.500 0.000 [1 per cell]
Br 0.500 0.500 0.500 [1 per cell]

Results
ΔE_f (raw): 8.19 eV/f.u.
Polymorph energy (0 for the lowest one): 1407 meV/atom

=====

This record from the Alexandria database describes crystalline SbTeI2Br at its relaxed geometry. The functional is GGA-PBEsol.

a = 5.671 Å, b = 5.671 Å, c = 5.551 Å
α = 90.00°, β = 90.00°, γ = 90.00°
Space group P4/mmm (No. 123)
Asymmetric unit:
Sb 0.000 0.000 0.000 [1 per cell]
Te 0.500 0.500 0.000 [1 per cell]
I 0.000 0.500 0.500 [2 per cell]
Br 0.500 0.500 0.500 [1 per cell]

Results
ΔE_f (raw): 3.56 eV/f.u.
Polymorph energy (0 for the lowest one): 320 meV/atom

=====

This record from the Alexandria database describes crystalline SbTeI2Br at its relaxed geometry. The functional is GGA-PBEsol.

a = 5.797 Å, b = 5.797 Å, c = 5.915 Å
α = 90.00°, β = 90.00°, γ = 90.00°
Space group P4/mmm (No. 123)
Asymmetric unit:
Sb 0.000 0.000 0.000 [1 per cell]
Te 0.000 0.000 0.500 [1 per cell]
I 0.000 0.500 0.500 [2 per cell]
Br 0.500 0.500 0.000 [1 per cell]

Results
ΔE_f (raw): 1.96 eV/f.u.
Polymorph energy (0 for the lowest one): 0 meV/atom

=====

This record from the Alexandria database describes crystalline SbTe2IBr at its relaxed geometry. The functional is GGA-PBEsol.

a = 5.524 Å, b = 5.524 Å, c = 5.628 Å
α = 90.00°, β = 90.00°, γ = 90.00°
Space group P4/mmm (No. 123)
Asymmetric unit:
Sb 0.000 0.000 0.000 [1 per cell]
Te 0.000 0.500 0.500 [2 per cell]
I 0.500 0.500 0.000 [1 per cell]
Br 0.000 0.000 0.500 [1 per cell]

Results
ΔE_f (raw): 3.99 eV/f.u.

=====

This record from the Alexandria database describes crystalline SbWI2Br at its relaxed geometry. The functional is GGA-PBEsol.

a = 5.649 Å, b = 5.649 Å, c = 5.528 Å
α = 90.00°, β = 90.00°, γ = 90.00°
Space group P4/mmm (No. 123)
Asymmetric unit:
Sb 0.000 0.000 0.000 [1 per cell]
W 0.500 0.500 0.000 [1 per cell]
I 0.000 0.500 0.500 [2 per cell]
Br 0.000 0.000 0.500 [1 per cell]

Results
ΔE_f (raw): 9.43 eV/f.u.

=====

This record from the Alexandria database describes crystalline ScI3Br at its relaxed geometry. The functional is GGA-PBEsol.

a = 5.787 Å, b = 5.787 Å, c = 5.787 Å
α = 90.00°, β = 90.00°, γ = 90.00°
Space group Pm-3m (No. 221)
Asymmetric unit:
Sc 0.000 0.000 0.000 [1 per cell]
I 0.000 0.500 0.500 [3 per cell]
Br 0.500 0.500 0.500 [1 per cell]

Results
ΔE_f (raw): 1.95 eV/f.u.

=====

This record from the Alexandria database describes crystalline SeIBr at its relaxed geometry. The functional is GGA-PBEsol.

a = 5.618 Å, b = 6.459 Å, c = 7.421 Å
α = 73.32°, β = 80.87°, γ = 82.81°
Space group P1 (No. 1)
Asymmetric unit:
Se 0.000 0.000 0.000 [1 per cell]
Se 0.173 0.331 0.985 [1 per cell]
I 0.227 0.557 0.629 [1 per cell]
I 0.781 0.547 0.105 [1 per cell]
Br 0.350 0.813 0.244 [1 per cell]
Br 0.706 0.166 0.789 [1 per cell]

Results
ΔE_f (raw): -0.13 eV/f.u.

=====

This record from the Alexandria database describes crystalline SiSeIBr2 at its relaxed geometry. The functional is GGA-PBEsol.

a = 4.853 Å, b = 4.853 Å, c = 5.394 Å
α = 90.00°, β = 90.00°, γ = 90.00°
Space group P4/mmm (No. 123)
Asymmetric unit:
Si 0.000 0.000 0.000 [1 per cell]
Se 0.000 0.000 0.500 [1 per cell]
I 0.500 0.500 0.500 [1 per cell]
Br 0.000 0.500 0.000 [2 per cell]

Results
ΔE_f (raw): 0.40 eV/f.u.

=====

This record from the Alexandria database describes crystalline TcSe2IBr at its relaxed geometry. The functional is GGA-PBEsol.

a = 5.388 Å, b = 5.388 Å, c = 5.374 Å
α = 90.00°, β = 90.00°, γ = 90.00°
Space group P4/mmm (No. 123)
Asymmetric unit:
Tc 0.000 0.000 0.000 [1 per cell]
Se 0.000 0.500 0.500 [2 per cell]
I 0.500 0.500 0.500 [1 per cell]
Br 0.500 0.500 0.000 [1 per cell]

Results
ΔE_f (raw): 7.16 eV/f.u.

=====

This record from the Alexandria database describes crystalline TcSeIBr2 at its relaxed geometry. The functional is GGA-PBEsol.

a = 5.644 Å, b = 5.644 Å, c = 5.328 Å
α = 90.00°, β = 90.00°, γ = 90.00°
Space group P4/mmm (No. 123)
Asymmetric unit:
Tc 0.000 0.000 0.000 [1 per cell]
Se 0.500 0.500 0.000 [1 per cell]
I 0.500 0.500 0.500 [1 per cell]
Br 0.000 0.500 0.500 [2 per cell]

Results
ΔE_f (raw): 6.71 eV/f.u.

=====

This record from the Alexandria database describes crystalline TeSeIBr2 at its relaxed geometry. The functional is GGA-PBEsol.

a = 5.628 Å, b = 5.628 Å, c = 5.381 Å
α = 90.00°, β = 90.00°, γ = 90.00°
Space group P4/mmm (No. 123)
Asymmetric unit:
Te 0.000 0.000 0.000 [1 per cell]
Se 0.500 0.500 0.000 [1 per cell]
I 0.500 0.500 0.500 [1 per cell]
Br 0.000 0.500 0.500 [2 per cell]

Results
ΔE_f (raw): 3.10 eV/f.u.

=====

This record from the Alexandria database describes crystalline SiIBr2 at its relaxed geometry. The functional is GGA-PBEsol.

a = 3.6647 Å, b = 3.6647 Å, c = 33.4761 Å
α = 90.00°, β = 90.00°, γ = 120.00°
Space group R-3m (No. 166, hexagonal axes)
Asymmetric unit:
Si 0.0000 0.0000 0.0000 [3 per cell]
I 0.0000 0.0000 0.5000 [3 per cell]
Br 0.0000 0.0000 0.3829 [6 per cell]

Results
ΔE_f (raw): -0.31 eV/f.u.

=====

This record from the Alexandria database describes crystalline Si2IBr at its relaxed geometry. The functional is GGA-PBEsol.

a = 7.779 Å, b = 7.779 Å, c = 6.644 Å
α = 90.00°, β = 90.00°, γ = 90.00°
Space group I-42d (No. 122)
Asymmetric unit:
Si 0.240 0.750 0.125 [8 per cell]
I 0.000 0.000 0.500 [4 per cell]
Br 0.000 0.000 0.000 [4 per cell]

Results
ΔE_f (raw): 2.34 eV/f.u.

=====

This record from the Alexandria database describes crystalline SiTe2IBr at its relaxed geometry. The functional is GGA-PBEsol.

a = 5.254 Å, b = 5.254 Å, c = 5.316 Å
α = 90.00°, β = 90.00°, γ = 90.00°
Space group P4/mmm (No. 123)
Asymmetric unit:
Si 0.000 0.000 0.000 [1 per cell]
Te 0.000 0.500 0.000 [2 per cell]
I 0.000 0.000 0.500 [1 per cell]
Br 0.500 0.500 0.500 [1 per cell]

Results
ΔE_f (raw): 1.78 eV/f.u.

=====

This record from the Alexandria database describes crystalline SnIBr2 at its relaxed geometry. The functional is GGA-PBEsol.

a = 9.543 Å, b = 9.543 Å, c = 5.923 Å
α = 90.00°, β = 90.00°, γ = 90.00°
Space group I-42d (No. 122)
Asymmetric unit:
Sn 0.000 0.000 0.000 [4 per cell]
I 0.000 0.000 0.500 [4 per cell]
Br 0.142 0.250 0.125 [8 per cell]

Results
ΔE_f (raw): -1.36 eV/f.u.

=====

This record from the Alexandria database describes crystalline TcIBr2 at its relaxed geometry. The functional is GGA-PBEsol.

a = 3.4910 Å, b = 3.4910 Å, c = 32.3542 Å
α = 90.00°, β = 90.00°, γ = 120.00°
Space group R-3m (No. 166, hexagonal axes)
Asymmetric unit:
Tc 0.0000 0.0000 0.0000 [3 per cell]
I 0.0000 0.0000 0.5000 [3 per cell]
Br 0.0000 0.0000 0.3811 [6 per cell]

Results
ΔE_f (raw): 0.40 eV/f.u.

=====

This record from the Alexandria database describes crystalline TeIBr2 at its relaxed geometry. The functional is GGA-PBEsol.

a = 3.4583 Å, b = 3.4583 Å, c = 36.7996 Å
α = 90.00°, β = 90.00°, γ = 120.00°
Space group R-3m (No. 166, hexagonal axes)
Asymmetric unit:
Te 0.0000 0.0000 0.0000 [3 per cell]
I 0.0000 0.0000 0.5000 [3 per cell]
Br 0.0000 0.0000 0.0703 [6 per cell]

Results
ΔE_f (raw): 0.08 eV/f.u.
Polymorph energy (0 for the lowest one): 0 meV/atom

=====

This record from the Alexandria database describes crystalline TeIBr2 at its relaxed geometry. The functional is GGA-PBEsol.

a = 8.375 Å, b = 8.375 Å, c = 13.817 Å
α = 90.00°, β = 90.00°, γ = 90.00°
Space group I4_1/amd (No. 141, origin choice 2)
Asymmetric unit:
Te 0.000 0.250 0.375 [4 per cell]
I 0.000 0.250 0.875 [4 per cell]
Br 0.000 0.000 0.500 [8 per cell]

Results
ΔE_f (raw): 1.12 eV/f.u.
Polymorph energy (0 for the lowest one): 260 meV/atom

=====

This record from the Alexandria database describes crystalline Te2WIBr at its relaxed geometry. The functional is GGA-PBEsol.

a = 5.200 Å, b = 5.200 Å, c = 5.422 Å
α = 90.00°, β = 90.00°, γ = 90.00°
Space group P4/mmm (No. 123)
Asymmetric unit:
Te 0.000 0.500 0.000 [2 per cell]
W 0.000 0.000 0.000 [1 per cell]
I 0.000 0.000 0.500 [1 per cell]
Br 0.500 0.500 0.500 [1 per cell]

Results
ΔE_f (raw): 2.00 eV/f.u.

=====

This record from the Alexandria database describes crystalline Tl3IBr at its relaxed geometry. The functional is GGA-PBEsol.

a = 6.312 Å, b = 6.312 Å, c = 6.312 Å
α = 90.00°, β = 90.00°, γ = 90.00°
Space group Pm-3m (No. 221)
Asymmetric unit:
Tl 0.000 0.000 0.500 [3 per cell]
I 0.000 0.000 0.000 [1 per cell]
Br 0.500 0.500 0.500 [1 per cell]

Results
ΔE_f (raw): 0.14 eV/f.u.

=====

This record from the Alexandria database describes crystalline Tl2I2Br at its relaxed geometry. The functional is GGA-PBEsol.

a = 4.768 Å, b = 4.768 Å, c = 16.242 Å
α = 90.00°, β = 90.00°, γ = 90.00°
Space group I4/mmm (No. 139)
Asymmetric unit:
Tl 0.000 0.000 0.099 [4 per cell]
I 0.000 0.500 0.250 [4 per cell]
Br 0.000 0.000 0.500 [2 per cell]

Results
ΔE_f (raw): -1.79 eV/f.u.

=====

This record from the Alexandria database describes crystalline Zn2IBr at its relaxed geometry. The functional is GGA-PBEsol.

a = 7.129 Å, b = 7.129 Å, c = 7.129 Å
α = 90.00°, β = 90.00°, γ = 90.00°
Space group Fm-3m (No. 225)
Asymmetric unit:
Zn 0.250 0.250 0.250 [8 per cell]
I 0.000 0.000 0.000 [4 per cell]
Br 0.000 0.000 0.500 [4 per cell]

Results
ΔE_f (raw): 0.26 eV/f.u.

=====

This record from the Alexandria database describes crystalline InBr2 at its relaxed geometry. The functional is GGA-PBEsol.

a = 4.1073 Å, b = 4.1073 Å, c = 6.2392 Å
α = 90.00°, β = 90.00°, γ = 120.00°
Space group P-3m1 (No. 164)
Asymmetric unit:
In 0.0000 0.0000 0.0000 [1 per cell]
Br 0.3333 0.6667 0.7305 [2 per cell]

Results
ΔE_f (raw): -1.71 eV/f.u.

=====

This record from the Alexandria database describes crystalline InBr at its relaxed geometry. The functional is GGA-PBEsol.

a = 4.574 Å, b = 6.462 Å, c = 4.576 Å
α = 90.00°, β = 90.00°, γ = 90.00°
Space group Pmmn (No. 59, origin choice 2)
Asymmetric unit:
In 0.250 0.250 0.234 [2 per cell]
Br 0.250 0.750 0.274 [2 per cell]

Results
ΔE_f (raw): -1.12 eV/f.u.

=====

This record from the Alexandria database describes crystalline InBr3 at its relaxed geometry. The functional is GGA-PBEsol.

a = 6.741 Å, b = 11.699 Å, c = 6.783 Å
α = 90.00°, β = 108.81°, γ = 90.00°
Space group C2/m (No. 12)
Asymmetric unit:
In 0.000 0.166 0.000 [4 per cell]
Br 0.227 0.000 0.243 [4 per cell]
Br 0.247 0.175 0.759 [8 per cell]

Results
ΔE_f (raw): -3.24 eV/f.u.

=====

This record from the Alexandria database describes crystalline InBr at its relaxed geometry. The functional is GGA-PBEsol.

a = 4.2274 Å, b = 4.2274 Å, c = 4.2321 Å
α = 90.00°, β = 90.00°, γ = 120.00°
Space group P-6m2 (No. 187)
Asymmetric unit:
In 0.0000 0.0000 0.0000 [1 per cell]
Br 0.6667 0.3333 0.5000 [1 per cell]

Results
ΔE_f (raw): -1.08 eV/f.u.

=====

This record from the Alexandria database describes crystalline In2Br at its relaxed geometry. The functional is GGA-PBEsol.

a = 11.407 Å, b = 3.563 Å, c = 9.793 Å
α = 90.00°, β = 125.01°, γ = 90.00°
Space group Cm (No. 8)
Asymmetric unit:
In 0.000 0.000 0.000 [2 per cell]
In 0.065 0.000 0.663 [2 per cell]
In 0.236 0.500 0.998 [2 per cell]
In 0.398 0.000 0.333 [2 per cell]
Br 0.140 0.500 0.309 [2 per cell]
Br 0.334 0.000 0.690 [2 per cell]

Results
ΔE_f (raw): -0.86 eV/f.u.
Polymorph energy (0 for the lowest one): 0 meV/atom

=====

This record from the Alexandria database describes crystalline InBr3 at its relaxed geometry. The functional is GGA-PBEsol.

a = 14.275 Å, b = 3.961 Å, c = 10.218 Å
α = 90.00°, β = 117.56°, γ = 90.00°
Space group C2/m (No. 12)
Asymmetric unit:
In 0.134 0.000 0.310 [4 per cell]
Br 0.061 0.000 0.783 [4 per cell]
Br 0.152 0.500 0.525 [4 per cell]
Br 0.155 0.500 0.149 [4 per cell]

Results
ΔE_f (raw): -2.94 eV/f.u.